[1]
TbMg5Ag2 (PBE, relaxed); ΔH_f (0 K) = -3.66 kcal/mol of atoms; V = 22.249 Å³/atom; size of the total moment = 0.000 μB per cell; VASP energy = -19.58 eV for the cell shown
1.0
3.499 0.000 0.000
1.749 7.221 0.138
1.749 1.463 7.073
Tb Mg Ag
1 5 2
Direct
0.000 0.000 0.000 Tb
0.000 0.500 0.500 Mg
0.641 0.570 0.147 Mg
0.359 0.430 0.853 Mg
0.359 0.853 0.430 Mg
0.641 0.147 0.570 Mg
0.737 0.763 0.763 Ag
0.263 0.237 0.237 Ag


[2]
Tb2MgAg2 (PBE, relaxed); ΔH_f (0 K) = -6.18 kcal/mol of atoms; V = 24.749 Å³/atom; size of the total moment = 0.000 μB per cell; VASP energy = -35.80 eV for the cell shown
1.0
3.912 0.000 0.000
0.000 7.954 0.000
0.000 0.000 7.954
Tb Mg Ag
4 2 4
Direct
0.500 0.169 0.669 Tb
0.500 0.669 0.831 Tb
0.500 0.831 0.331 Tb
0.500 0.331 0.169 Tb
0.000 0.000 0.000 Mg
0.000 0.500 0.500 Mg
0.000 0.370 0.870 Ag
0.000 0.870 0.630 Ag
0.000 0.630 0.130 Ag
0.000 0.130 0.370 Ag


[3]
Tb3MgAg3 (PBE, relaxed); ΔH_f (0 K) = -3.05 kcal/mol of atoms; V = 25.374 Å³/atom; size of the total moment = 0.000 μB per cell; VASP energy = -49.93 eV for the cell shown
1.0
7.004 1.293 0.275
-1.963 6.847 0.275
-0.421 -0.680 6.989
Tb Mg Ag
6 2 6
Direct
0.643 0.643 0.368 Tb
0.171 0.829 0.500 Tb
0.829 0.171 0.500 Tb
0.263 0.737 0.000 Tb
0.737 0.263 0.000 Tb
0.357 0.357 0.632 Tb
0.716 0.716 0.863 Mg
0.284 0.284 0.137 Mg
0.915 0.915 0.166 Ag
0.978 0.506 0.720 Ag
0.506 0.978 0.720 Ag
0.022 0.494 0.280 Ag
0.494 0.022 0.280 Ag
0.085 0.085 0.834 Ag


[4]
TbMg10Ag2 (PBE, relaxed); ΔH_f (0 K) = -2.22 kcal/mol of atoms; V = 22.372 Å³/atom; size of the total moment = 0.000 μB per cell; VASP energy = -27.53 eV for the cell shown
1.0
-0.452 2.442 5.140
-0.594 -5.215 5.595
6.896 1.129 3.241
Tb Mg Ag
1 10 2
Direct
0.000 0.000 0.000 Tb
0.346 0.641 0.666 Mg
0.654 0.359 0.334 Mg
0.988 0.359 0.666 Mg
0.012 0.641 0.334 Mg
0.000 0.000 0.500 Mg
0.500 0.000 0.500 Mg
0.289 0.218 0.204 Mg
0.711 0.782 0.796 Mg
0.507 0.782 0.204 Mg
0.493 0.218 0.796 Mg
0.000 0.500 0.000 Ag
0.500 0.500 0.000 Ag